No. 1
Density functional theory data (GGA-PBE) for a relaxed structure of YMg2Zn2. Values from VASP.

Calculated values
As for the spin magnetization: 0.000 Bohr magnetons per cell. The density of states at the Fermi level comes out at 3.607 states/eV/f.u. The distance to the lowest polymorph of the same formula comes out at 102 meV/atom. The formation energy from the elements is -0.11 eV/atom. For the final energy, the calculation gives -0.094 Ha/atom.

Geometry as Quantum ESPRESSO input:
```
&SYSTEM
  ibrav = 0, nat = 10, ntyp = 3
/
ATOMIC_SPECIES
Y 88.91 Y.upf
Zn 65.41 Zn.upf
Mg 24.30 Mg.upf
CELL_PARAMETERS angstrom
-0.990 -5.414 5.656
-3.912 -4.597 -5.085
2.952 -1.498 -0.917
ATOMIC_POSITIONS crystal
Y 0.000 0.000 0.000
Y 0.500 0.500 0.000
Zn 0.379 0.879 0.000
Zn 0.879 0.621 0.000
Zn 0.621 0.121 0.000
Zn 0.121 0.379 0.000
Mg 0.175 0.675 0.500
Mg 0.675 0.825 0.500
Mg 0.825 0.325 0.500
Mg 0.325 0.175 0.500
```



No. 2
Density functional theory data (GGA-PBE) for a relaxed structure of YMgZn. Values from VASP.

Calculated values
As for the spin magnetization: 0.000 Bohr magnetons per cell. The density of states at the Fermi level comes out at 1.989 states/eV/f.u. The distance to the lowest polymorph of the same formula comes out at 0 meV/atom. The formation energy from the elements is -0.30 eV/atom. For the final energy, the calculation gives -0.125 Ha/atom.

Geometry as Quantum ESPRESSO input:
```
&SYSTEM
  ibrav = 0, nat = 9, ntyp = 3
/
ATOMIC_SPECIES
Mg 24.30 Mg.upf
Y 88.91 Y.upf
Zn 65.41 Zn.upf
CELL_PARAMETERS angstrom
-4.923 -4.789 3.102
6.696 -2.500 -2.386
1.633 0.768 3.777
ATOMIC_POSITIONS crystal
Mg 0.247 0.000 0.500
Mg 0.000 0.247 0.500
Mg 0.753 0.753 0.500
Y 0.588 0.000 0.000
Y 0.000 0.588 0.000
Y 0.412 0.412 0.000
Zn 0.333 0.667 0.500
Zn 0.667 0.333 0.500
Zn 0.000 0.000 0.000
```



No. 3
Density functional theory data (GGA-PBE) for a relaxed structure of YMg3Zn8. Values from VASP.

Calculated values
As for the spin magnetization: 0.000 Bohr magnetons per cell. The density of states at the Fermi level comes out at 3.290 states/eV/f.u. The distance to the lowest polymorph of the same formula comes out at 7 meV/atom. The formation energy from the elements is -0.19 eV/atom. For the final energy, the calculation gives -0.073 Ha/atom.

Geometry as Quantum ESPRESSO input:
```
&SYSTEM
  ibrav = 0, nat = 12, ntyp = 3
/
ATOMIC_SPECIES
Y 88.91 Y.upf
Mg 24.30 Mg.upf
Zn 65.41 Zn.upf
CELL_PARAMETERS angstrom
5.301 0.000 0.000
2.650 4.590 0.000
2.650 1.530 8.632
ATOMIC_POSITIONS crystal
Y 0.876 0.876 0.372
Mg 0.374 0.374 0.878
Mg 0.001 0.001 0.996
Mg 0.497 0.497 0.510
Zn 0.942 0.438 0.181
Zn 0.435 0.936 0.692
Zn 0.438 0.438 0.181
Zn 0.936 0.936 0.692
Zn 0.187 0.187 0.438
Zn 0.688 0.688 0.936
Zn 0.438 0.942 0.181
Zn 0.936 0.435 0.692
```